The following is a DFT calculation (GGA-PBE) of an optimized crystal structure of NbTeOsI2.

Values from the calculation:
The raw formation energy is 1257 meV per atom.

a = 5.430 Å, b = 5.430 Å, c = 5.079 Å
α = 90.00°, β = 90.00°, γ = 90.00°
Each line ends with the local moment (μB).
Sites, in units of the cell vectors:
I: 0.000 0.500 0.000  -0.07
I: 0.500 0.000 0.000  -0.07
Nb: 0.500 0.500 0.500  2.76
Te: 0.000 0.000 0.500  -0.13
Os: 0.000 0.000 0.000  -0.15

***

The following is a DFT calculation (GGA-PBE) of an optimized crystal structure of Mg3BiN.

Values from the calculation:
The raw formation energy is -234 meV per atom.

a = 8.295 Å, b = 8.295 Å, c = 8.295 Å
α = 60.00°, β = 60.00°, γ = 60.00°
Sites, in units of the cell vectors:
Mg: 0.813 0.187 0.187
Mg: 0.063 0.437 0.437
Mg: 0.437 0.437 0.063
Mg: 0.437 0.063 0.063
Mg: 0.063 0.437 0.063
Mg: 0.813 0.187 0.813
Mg: 0.437 0.063 0.437
Mg: 0.063 0.063 0.437
Mg: 0.187 0.813 0.187
Mg: 0.187 0.813 0.813
Mg: 0.187 0.187 0.813
Mg: 0.813 0.813 0.187
Bi: 0.625 0.625 0.625
Bi: 0.625 0.125 0.625
Bi: 0.125 0.625 0.625
Bi: 0.625 0.625 0.125
N: 0.125 0.125 0.125
N: 0.125 0.625 0.125
N: 0.625 0.125 0.125
N: 0.125 0.125 0.625

***

The following is a DFT calculation (GGA-PBE) of an optimized crystal structure of Ta2Co2Pt.

Values from the calculation:
As for the energy relative to the elements: -207.8 kJ/mol of formula units.

a = 6.883 Å, b = 6.883 Å, c = 3.028 Å
α = 90.00°, β = 90.00°, γ = 90.00°
Sites, in units of the cell vectors:
Co: 0.371 0.871 0.000
Co: 0.871 0.629 0.000
Co: 0.629 0.129 0.000
Co: 0.129 0.371 0.000
Pt: 0.000 0.000 0.000
Pt: 0.500 0.500 0.000
Ta: 0.172 0.672 0.500
Ta: 0.672 0.828 0.500
Ta: 0.828 0.328 0.500
Ta: 0.328 0.172 0.500

***

The following is a DFT calculation (GGA-PBE) of an optimized crystal structure of CaSmPb.

Values from the calculation:
As for the energy relative to the elements: -96.7 kJ/mol of formula units.

a = 5.321 Å, b = 5.321 Å, c = 5.321 Å
α = 60.00°, β = 60.00°, γ = 60.00°
Sites, in units of the cell vectors:
Pb: 0.250 0.250 0.250
Ca: 0.500 0.500 0.500
Sm: 0.000 0.000 0.000

***

The following is a DFT calculation (GGA-PBE) of an optimized crystal structure of SrAc2In.

Values from the calculation:
As for the energy relative to the elements: 13.7 kJ/mol of formula units.

a = 5.769 Å, b = 5.769 Å, c = 7.038 Å
α = 65.81°, β = 65.81°, γ = 60.00°
Sites, in units of the cell vectors:
Sr: 0.492 0.492 0.524
Ac: 0.047 0.047 0.859
Ac: 0.275 0.275 0.174
In: 0.686 0.686 0.943

***

The following is a DFT calculation (GGA-PBE) of an optimized crystal structure of AcMgCd11.

Values from the calculation:
As for the energy relative to the elements: -200.2 kJ/mol of formula units.

a = 6.050 Å, b = 7.738 Å, c = 7.724 Å
α = 81.28°, β = 66.94°, γ = 67.24°
Sites, in units of the cell vectors:
Ac: 0.000 0.000 0.000
Mg: 0.500 0.500 0.000
Cd: 0.289 0.217 0.216
Cd: 0.711 0.783 0.784
Cd: 0.496 0.783 0.216
Cd: 0.504 0.217 0.784
Cd: 0.358 0.645 0.649
Cd: 0.642 0.355 0.351
Cd: 0.994 0.355 0.649
Cd: 0.006 0.645 0.351
Cd: 0.000 0.500 0.000
Cd: 0.500 0.000 0.500
Cd: 0.000 0.000 0.500

***

The following is a DFT calculation (GGA-PBE) of an optimized crystal structure of TcHCNO.

Values from the calculation:
The calculation puts the total DFT energy (no corrections) at -37.08 eV/cell.

a = 2.786 Å, b = 2.921 Å, c = 7.145 Å
α = 85.05°, β = 81.26°, γ = 61.26°
Sites, in units of the cell vectors:
Tc: 0.131 0.637 0.625
H: 0.394 0.907 0.155
C: 0.667 0.809 0.404
N: 0.708 0.852 0.230
O: 0.399 0.975 0.792

***

The following is a DFT calculation (GGA-PBE) of an optimized crystal structure of VZnB.

Values from the calculation:
As for the energy relative to the elements: -38.0 kJ/mol of formula units.

a = 4.855 Å, b = 5.255 Å, c = 6.543 Å
α = 90.00°, β = 121.13°, γ = 90.00°
Sites, in units of the cell vectors:
Zn: 0.000 0.250 0.250
Zn: 0.000 0.250 0.750
Zn: 0.000 0.750 0.750
Zn: 0.000 0.750 0.250
B: 0.500 0.841 0.500
B: 0.500 0.159 0.500
B: 0.500 0.341 0.000
B: 0.500 0.659 0.000
V: 0.423 0.000 0.163
V: 0.577 0.000 0.837
V: 0.423 0.500 0.663
V: 0.577 0.500 0.337

***

The following is a DFT calculation (GGA-PBE) of an optimized crystal structure of LaPmAu6.

Values from the calculation:
As for the energy relative to the elements: -504.1 kJ/mol of formula units.

a = 4.920 Å, b = 5.020 Å, c = 8.693 Å
α = 88.96°, β = 73.56°, γ = 60.66°
Sites, in units of the cell vectors:
La: 0.000 0.500 0.500
Pm: 0.000 0.000 0.000
Au: 0.244 0.879 0.633
Au: 0.499 0.249 0.753
Au: 0.250 0.377 0.123
Au: 0.501 0.751 0.247
Au: 0.756 0.121 0.367
Au: 0.750 0.623 0.877

***

The following is a DFT calculation (GGA-PBE) of an optimized crystal structure of Na2TaCu2O6.

Values from the calculation:
The raw formation energy is -1516 meV per atom.

a = 5.224 Å, b = 5.224 Å, c = 5.607 Å
α = 90.00°, β = 90.00°, γ = 120.00°
Each line ends with the local moment (μB).
Sites, in units of the cell vectors:
Na: 0.667 0.333 0.500  0.00
Na: 0.333 0.667 0.500  0.00
Ta: 0.000 0.000 0.000  -0.04
Cu: 0.333 0.667 0.000  0.73
Cu: 0.667 0.333 0.000  0.73
O: 0.000 0.324 0.803  0.23
O: 0.676 0.676 0.803  0.23
O: 0.324 0.000 0.803  0.23
O: 0.000 0.676 0.197  0.23
O: 0.324 0.324 0.197  0.23
O: 0.676 0.000 0.197  0.23

***

The following is a DFT calculation (GGA-PBE) of an optimized crystal structure of MgP.

Values from the calculation:
As for the energy relative to the elements: -4.0 kJ/mol of formula units.

a = 10.306 Å, b = 10.306 Å, c = 3.326 Å
α = 90.00°, β = 90.00°, γ = 120.00°
Sites, in units of the cell vectors:
Mg: 0.792 0.141 0.250
Mg: 0.651 0.792 0.750
Mg: 0.859 0.651 0.250
Mg: 0.208 0.859 0.750
Mg: 0.349 0.208 0.250
Mg: 0.141 0.349 0.750
P: 0.984 0.415 0.250
P: 0.569 0.984 0.750
P: 0.585 0.569 0.250
P: 0.016 0.585 0.750
P: 0.431 0.016 0.250
P: 0.415 0.431 0.750

***

The following is a DFT calculation (GGA-PBE) of an optimized crystal structure of InIr2Cl.

Values from the calculation:
The raw formation energy is 459 meV per atom.

a = 2.961 Å, b = 2.961 Å, c = 9.885 Å
α = 90.00°, β = 90.00°, γ = 122.52°
Sites, in units of the cell vectors:
Cl: 0.000 0.000 0.452
Ir: 0.000 0.000 0.026
Ir: 0.500 0.500 0.250
In: 0.500 0.500 0.772

***

The following is a DFT calculation (GGA-PBE) of an optimized crystal structure of CaHPb.

Values from the calculation:
The calculation puts the total DFT energy (no corrections) at -40.42 eV/cell.

a = 10.697 Å, b = 3.904 Å, c = 6.604 Å
α = 90.00°, β = 102.10°, γ = 90.00°
Sites, in units of the cell vectors:
Ca: 0.362 0.000 0.285
Ca: 0.638 0.000 0.715
Ca: 0.362 0.500 0.785
Ca: 0.638 0.500 0.215
H: 0.419 0.000 0.640
H: 0.581 0.000 0.360
H: 0.419 0.500 0.140
H: 0.581 0.500 0.860
Pb: 0.891 0.000 0.139
Pb: 0.109 0.000 0.861
Pb: 0.891 0.500 0.639
Pb: 0.109 0.500 0.361

***

The following is a DFT calculation (GGA-PBE) of an optimized crystal structure of Nd2FeSb4.

Values from the calculation:
The raw formation energy is -635 meV per atom.

a = 4.426 Å, b = 4.426 Å, c = 9.682 Å
α = 90.00°, β = 90.00°, γ = 90.00°
Each line ends with the local moment (μB).
Sites, in units of the cell vectors:
Nd: 0.000 0.500 0.239  0.01
Nd: 0.500 0.000 0.761  0.01
Fe: 0.500 0.500 0.000  1.87
Sb: 0.000 0.500 0.875  -0.01
Sb: 0.500 0.000 0.125  -0.01
Sb: 0.500 0.500 0.500  0.00
Sb: 0.000 0.000 0.500  0.00

***

The following is a DFT calculation (GGA-PBE) of an optimized crystal structure of Cs2KAlI6.

Values from the calculation:
The raw formation energy is -1135 meV per atom.

a = 8.737 Å, b = 8.737 Å, c = 8.737 Å
α = 60.00°, β = 60.00°, γ = 60.00°
Sites, in units of the cell vectors:
Cs: 0.750 0.750 0.750
Cs: 0.250 0.250 0.250
K: 0.500 0.500 0.500
Al: 0.000 0.000 0.000
I: 0.775 0.225 0.225
I: 0.225 0.225 0.775
I: 0.225 0.775 0.775
I: 0.225 0.775 0.225
I: 0.775 0.225 0.775
I: 0.775 0.775 0.225

***

The following is a DFT calculation (GGA-PBE) of an optimized crystal structure of Pm4PrSmTm2.

Values from the calculation:
As for the energy relative to the elements: 13.0 kJ/mol of formula units.

a = 5.132 Å, b = 5.111 Å, c = 11.392 Å
α = 63.27°, β = 90.00°, γ = 90.00°
Sites, in units of the cell vectors:
Pm: 0.000 0.748 0.752
Pm: 0.000 0.252 0.248
Pm: 0.500 0.751 0.249
Pm: 0.500 0.249 0.751
Pr: 0.000 0.500 0.500
Sm: 0.500 0.500 0.000
Tm: 0.000 0.000 0.000
Tm: 0.500 0.000 0.500

***

The following is a DFT calculation (GGA-PBE) of an optimized crystal structure of Nd4ThCd3.

Values from the calculation:
As for the energy relative to the elements: -139.1 kJ/mol of formula units.

a = 3.680 Å, b = 5.656 Å, c = 11.386 Å
α = 90.00°, β = 90.00°, γ = 90.00°
Sites, in units of the cell vectors:
Nd: 0.000 0.000 0.500
Nd: 0.000 0.500 0.739
Nd: 0.000 0.000 0.000
Nd: 0.000 0.500 0.261
Th: 0.500 0.500 0.000
Cd: 0.500 0.000 0.249
Cd: 0.500 0.500 0.500
Cd: 0.500 0.000 0.751

***

The following is a DFT calculation (GGA-PBE) of an optimized crystal structure of Pr6HfS12.

Values from the calculation:
The raw formation energy is -1775 meV per atom.

a = 8.061 Å, b = 8.061 Å, c = 8.061 Å
α = 98.79°, β = 98.79°, γ = 98.79°
Each line ends with the local moment (μB).
Sites, in units of the cell vectors:
Pr: 0.135 0.291 0.630  0.01
Pr: 0.709 0.370 0.865  0.01
Pr: 0.370 0.865 0.709  0.01
Pr: 0.865 0.709 0.370  0.01
Pr: 0.291 0.630 0.135  0.01
Pr: 0.630 0.135 0.291  0.01
Hf: 0.000 0.000 0.000  0.00
S: 0.444 0.178 0.579  0.14
S: 0.178 0.579 0.444  0.14
S: 0.579 0.444 0.178  0.14
S: 0.556 0.822 0.421  0.14
S: 0.822 0.421 0.556  0.14
S: 0.421 0.556 0.822  0.14
S: 0.031 0.936 0.688  0.01
S: 0.312 0.969 0.064  0.01
S: 0.064 0.312 0.969  0.01
S: 0.969 0.064 0.312  0.01
S: 0.688 0.031 0.936  0.01
S: 0.936 0.688 0.031  0.01

***

The following is a DFT calculation (GGA-PBE) of an optimized crystal structure of DyVNi3.

Values from the calculation:
As for the energy relative to the elements: -63.9 kJ/mol of formula units.

a = 5.372 Å, b = 5.777 Å, c = 5.776 Å
α = 120.00°, β = 89.99°, γ = 90.00°
Sites, in units of the cell vectors:
Dy: 0.750 0.667 0.333
Dy: 0.250 0.333 0.667
V: 0.000 0.000 0.000
V: 0.500 0.000 0.000
Ni: 0.750 0.610 0.805
Ni: 0.250 0.805 0.610
Ni: 0.250 0.390 0.195
Ni: 0.750 0.195 0.390
Ni: 0.250 0.805 0.195
Ni: 0.750 0.195 0.805

***

The following is a DFT calculation (GGA-PBE) of an optimized crystal structure of Ba2CdIrC.

Values from the calculation:
As for the energy relative to the elements: -60.3 kJ/mol of formula units.

a = 5.978 Å, b = 5.978 Å, c = 3.916 Å
α = 90.00°, β = 90.00°, γ = 90.00°
Sites, in units of the cell vectors:
C: 0.000 0.000 0.000
Ir: 0.000 0.000 0.500
Ba: 0.000 0.500 0.000
Ba: 0.500 0.000 0.000
Cd: 0.500 0.500 0.500